VASP calculation (GGA+U) on MgMoO4 after structural relaxation.

Unit cell a=4.778 b=5.628 c=5.654 alpha=114.17 beta=90.00 gamma=90.00
Fractional positions:
O (0.316, 0.375, 0.680)
O (0.684, 0.625, 0.320)
O (0.184, 0.875, 0.680)
Mo (0.500, 0.500, 0.000)
Mg (0.500, 0.000, 0.500)
Mo (0.000, 0.000, 0.000)
O (0.710, 0.174, 0.862)
O (0.210, 0.326, 0.138)
Mg (0.000, 0.500, 0.500)
O (0.790, 0.674, 0.862)
O (0.816, 0.125, 0.320)
O (0.290, 0.826, 0.138)

Values from the calculation:
**E_tot**: -6.696 eV/atom
**Mass density**: 4.411 Mg/m³
**Total magnetic moment**: 0.000 Bohr magnetons per cell